[1]
NbCdFeB | the Open Quantum Materials Database | PBE | optimized geometry; crystal system = cubic; final energy = -5.704 eV/atom; polymorph energy (0 for the lowest one) = 0 meV per atom
1.0
0.0000 3.0483 3.0483
3.0483 0.0000 3.0483
3.0483 3.0483 0.0000
Nb Cd Fe B
1 1 1 1
direct
0.0000 0.0000 0.0000
0.7500 0.7500 0.7500
0.5000 0.5000 0.5000
0.2500 0.2500 0.2500

***

[2]
DyY2PdPt2Pb3 | the Open Quantum Materials Database | PBE | optimized geometry; crystal system = orthorhombic; final energy = -5.926 eV/atom
1.0
3.9542 0.0000 0.0000
0.0000 6.7231 3.8903
0.0000 -6.7231 3.8903
Dy Y Pd Pt Pb
1 2 1 2 3
direct
0.0000 0.0000 0.0000
0.0000 0.1871 0.5933
0.0000 0.5933 0.1871
0.0000 0.5941 0.5941
0.5000 0.2583 0.9267
0.5000 0.9267 0.2583
0.5000 0.3319 0.3319
0.5000 0.5929 0.8551
0.5000 0.8551 0.5929

***

[3]
SmAlIr | the Open Quantum Materials Database | PBE | optimized geometry; crystal system = hexagonal; final energy = -6.526 eV/atom
1.0
4.3595 0.0000 0.0000
-2.1798 3.7755 0.0000
0.0000 0.0000 7.7087
Sm Al Ir
2 2 2
direct
0.0000 0.0000 0.0000
0.0000 0.0000 0.5000
0.3333 0.6667 0.2499
0.6667 0.3333 0.7499
0.3333 0.6667 0.7517
0.6667 0.3333 0.2517

***

[4]
PmPAuO | the Open Quantum Materials Database | PBE | optimized geometry; crystal system = orthorhombic; final energy = -5.871 eV/atom; polymorph energy (0 for the lowest one) = 294 meV per atom
1.0
4.8955 0.0000 0.0000
0.0000 6.3336 0.0000
0.0000 0.0000 4.6268
Pm P Au O
2 2 2 2
direct
0.0000 0.2239 0.0000
0.0000 0.7761 0.5000
0.5000 0.5003 0.2508
0.5000 0.4997 0.7508
0.5000 0.1308 0.4994
0.5000 0.8692 0.9994
0.0000 0.1344 0.5000
0.0000 0.8656 0.0000